# 1
## Nd4BiPbSe2 (GGA-PBE)

Data for a relaxed structure of Nd4BiPbSe2.

Values from the calculation:
SG   No. 10
ΔE_f (raw)   -1.29 eV per atom
Density   7.80 g/cm³

a = 4.437 Å, b = 7.630 Å, c = 7.679 Å
α = 70.43°, β = 90.00°, γ = 90.00°
Sites, in units of the cell vectors:
Pb (0.000, 0.500, 0.500)
Nd (0.000, 0.763, 0.742)
Nd (0.500, 0.238, 0.752)
Nd (0.000, 0.237, 0.258)
Nd (0.500, 0.762, 0.248)
Bi (0.500, 0.500, 0.000)
Se (0.500, 0.000, 0.500)
Se (0.000, 0.000, 0.000)


# 2
## Nd6BiPb2Se3 (GGA-PBE)

Data for a relaxed structure of Nd6BiPb2Se3.

Values from the calculation:
SG   No. 12
ΔE_f (raw)   -1.25 eV per atom
Density   7.80 g/cm³

a = 4.432 Å, b = 8.835 Å, c = 9.870 Å
α = 102.44°, β = 102.97°, γ = 90.00°
Sites, in units of the cell vectors:
Pb (0.833, 0.666, 0.666)
Pb (0.167, 0.334, 0.334)
Nd (0.664, 0.590, 0.328)
Nd (0.336, 0.410, 0.672)
Nd (0.999, 0.260, 0.997)
Nd (0.001, 0.740, 0.003)
Nd (0.670, 0.079, 0.341)
Nd (0.330, 0.921, 0.659)
Se (0.500, 0.500, 0.000)
Se (0.166, 0.834, 0.331)
Se (0.834, 0.166, 0.669)
Bi (0.500, 0.000, 0.000)


# 3
## SrNdBiPb (GGA-PBE)

Data for a relaxed structure of SrNdBiPb.

Values from the calculation:
SG   No. 216
E_form   -0.5290 eV per atom
Density   8.05 g/cm³

a = 5.739 Å, b = 5.739 Å, c = 5.739 Å
α = 60.00°, β = 60.00°, γ = 60.00°
Sites, in units of the cell vectors:
Nd (0.000, 0.000, 0.000)
Sr (0.500, 0.500, 0.500)
Bi (0.750, 0.750, 0.750)
Pb (0.250, 0.250, 0.250)


# 4
## Nd8Bi4Te3Pb (GGA-PBE)

Data for a relaxed structure of Nd8Bi4Te3Pb.

Values from the calculation:
SG   No. 166
ΔE_f (raw)   -1.11 eV per atom
Density   7.94 g/cm³

a = 9.140 Å, b = 9.133 Å, c = 9.140 Å
α = 120.03°, β = 120.00°, γ = 90.00°
Sites, in units of the cell vectors:
Nd (0.752, 0.251, 0.504)
Nd (0.248, 0.749, 0.496)
Nd (0.753, 0.749, 0.001)
Nd (0.249, 0.247, 0.498)
Nd (0.752, 0.251, 0.999)
Nd (0.751, 0.753, 0.502)
Nd (0.247, 0.251, 0.999)
Nd (0.248, 0.749, 0.001)
Bi (0.500, 0.000, 0.500)
Bi (0.500, 0.000, 0.000)
Bi (0.000, 0.000, 0.500)
Bi (0.000, 0.000, 0.000)
Te (0.500, 0.500, 0.000)
Te (0.500, 0.500, 0.500)
Te (0.000, 0.500, 0.500)
Pb (0.000, 0.500, 0.000)


# 5
## Nd8Bi3Te4Pb (GGA-PBE)

Data for a relaxed structure of Nd8Bi3Te4Pb.

Values from the calculation:
SG   No. 166
ΔE_f (raw)   -1.17 eV per atom
Density   7.74 g/cm³

a = 9.136 Å, b = 9.102 Å, c = 9.136 Å
α = 120.12°, β = 120.00°, γ = 90.00°
Sites, in units of the cell vectors:
Bi (0.500, 0.500, 0.500)
Bi (0.000, 0.500, 0.500)
Bi (0.500, 0.500, 0.000)
Te (0.500, 0.000, 0.000)
Te (0.000, 0.000, 0.000)
Te (0.500, 0.000, 0.500)
Te (0.000, 0.000, 0.500)
Nd (0.753, 0.254, 0.001)
Nd (0.247, 0.746, 0.999)
Nd (0.248, 0.254, 0.001)
Nd (0.247, 0.746, 0.494)
Nd (0.752, 0.746, 0.999)
Nd (0.251, 0.252, 0.502)
Nd (0.753, 0.254, 0.506)
Nd (0.749, 0.748, 0.498)
Pb (0.000, 0.500, 0.000)


# 6
## Nd6BiTe3Pb2 (GGA-PBE)

Data for a relaxed structure of Nd6BiTe3Pb2.

Values from the calculation:
SG   No. 12
ΔE_f (raw)   -1.10 eV per atom
Density   7.74 g/cm³

a = 4.565 Å, b = 9.104 Å, c = 10.171 Å
α = 102.61°, β = 102.97°, γ = 90.00°
Sites, in units of the cell vectors:
Te (0.834, 0.167, 0.669)
Te (0.500, 0.500, 0.000)
Te (0.166, 0.833, 0.331)
Nd (0.332, 0.421, 0.664)
Nd (0.997, 0.750, 0.995)
Nd (0.333, 0.911, 0.667)
Nd (0.003, 0.250, 0.005)
Nd (0.668, 0.579, 0.336)
Nd (0.667, 0.089, 0.333)
Pb (0.167, 0.333, 0.334)
Pb (0.833, 0.667, 0.666)
Bi (0.500, 0.000, 0.000)


# 7
## Nd6Bi3Te2Pb (GGA-PBE)

Data for a relaxed structure of Nd6Bi3Te2Pb.

Values from the calculation:
SG   No. 12
ΔE_f (raw)   -1.07 eV per atom
Density   7.99 g/cm³

a = 4.578 Å, b = 9.151 Å, c = 10.214 Å
α = 102.84°, β = 102.95°, γ = 90.00°
Sites, in units of the cell vectors:
Nd (0.000, 0.246, 0.000)
Nd (0.000, 0.754, 0.000)
Nd (0.666, 0.585, 0.331)
Nd (0.335, 0.920, 0.670)
Nd (0.334, 0.415, 0.669)
Nd (0.665, 0.080, 0.330)
Te (0.833, 0.665, 0.665)
Te (0.167, 0.335, 0.335)
Pb (0.500, 0.000, 0.000)
Bi (0.500, 0.500, 0.000)
Bi (0.168, 0.833, 0.336)
Bi (0.832, 0.167, 0.664)


# 8
## NdYBiPb (GGA-PBE)

Data for a relaxed structure of NdYBiPb.

Values from the calculation:
SG   No. 123
E_form   -0.6419 eV per atom
Density   8.17 g/cm³

a = 4.542 Å, b = 4.541 Å, c = 6.402 Å
α = 89.97°, β = 90.00°, γ = 90.00°
Sites, in units of the cell vectors:
Pb (0.000, 0.892, 0.592)
Bi (0.500, 0.391, 0.092)
Y (0.500, 0.392, 0.592)
Nd (0.000, 0.891, 0.092)


# 9
## Nd4BiPd (GGA-PBE)

Data for a relaxed structure of Nd4BiPd.

Values from the calculation:
SG   No. 15
E_form   -0.4976 eV per atom
Density   8.13 g/cm³

a = 6.041 Å, b = 8.719 Å, c = 8.533 Å
α = 113.87°, β = 101.58°, γ = 107.46°
Sites, in units of the cell vectors:
Pd (0.749, 0.999, 0.998)
Pd (0.251, 0.001, 0.002)
Nd (0.050, 0.203, 0.844)
Nd (0.706, 0.359, 0.156)
Nd (0.294, 0.641, 0.844)
Nd (0.650, 0.080, 0.380)
Nd (0.350, 0.920, 0.620)
Nd (0.950, 0.797, 0.156)
Nd (0.230, 0.300, 0.380)
Nd (0.770, 0.700, 0.620)
Bi (0.633, 0.383, 0.766)
Bi (0.367, 0.617, 0.234)


# 10
## Nd8Bi2Pd3 (GGA-PBE)

Data for a relaxed structure of Nd8Bi2Pd3.

Values from the calculation:
SG   No. 12
E_form   -0.4516 eV per atom
Density   6.67 g/cm³

a = 7.158 Å, b = 8.314 Å, c = 9.203 Å
α = 116.85°, β = 103.94°, γ = 90.00°
Sites, in units of the cell vectors:
Pd (0.000, 0.253, 0.000)
Pd (0.000, 0.747, 0.000)
Pd (0.500, 0.000, 0.000)
Nd (0.402, 0.853, 0.212)
Nd (0.099, 0.900, 0.800)
Nd (0.402, 0.359, 0.212)
Nd (0.871, 0.592, 0.184)
Nd (0.598, 0.641, 0.788)
Nd (0.129, 0.408, 0.816)
Nd (0.901, 0.100, 0.200)
Nd (0.598, 0.147, 0.788)
Bi (0.669, 0.749, 0.499)
Bi (0.331, 0.251, 0.501)